The following is a GGA+U calculation of a relaxed structure of LiVC2O6, from the Alexandria database.

- magnetic moment (μB per formula unit) = 2.00
- calculated total energy (eV per atom) = -7.400
- theoretical density (g cm⁻³) = 2.949

Cell: 4.6930 7.9411 5.3765 Å, 90.00 90.32 90.00°
Closest atoms and distances in Å follow each position.
Space group C2 (No. 5)
Unique sites:
Li: 0.0000 0.0000 0.0000 (multiplicity 2)  6 O 2.18-2.30
V: 0.0000 0.6734 0.5000 (multiplicity 2)  6 O 2.03-2.11
C: 0.0027 0.3300 0.7368 (multiplicity 4)  3 O 1.29-1.31
O: 0.1246 0.4744 0.2702 (multiplicity 4)  1 C 1.29
O: 0.1442 0.1922 0.2601 (multiplicity 4)  1 C 1.29
O: 0.2192 0.8219 0.2595 (multiplicity 4)  1 C 1.31